Entry from the Alexandria database: a geometry-optimized KHgI2F structure (PBE-GGA).

Output
E_tot in eV per atom: -2.34
Total magnetization in μB per atom: 0.000
SG: P4/mmm (123)
Uncorrected formation energy in eV per atom: -1.064

Cell lengths 6.0380, 6.0380, 4.6336 Å; angles 90.00, 90.00, 90.00 degrees
Closest atoms and distances in Å follow each position.
Fractional positions:
1 K 0.0000 0.0000 0.0000  8 I 3.81
2 Hg 0.5000 0.5000 0.5000  2 F 2.32
3 I 0.0000 0.5000 0.5000  2 Hg 3.02
4 I 0.5000 0.0000 0.5000  2 Hg 3.02
5 F 0.5000 0.5000 0.0000  2 Hg 2.32

Entry from the Alexandria database: a geometry-optimized LiHg2IF structure (PBE-GGA).

Output
E_tot in eV per atom: -1.54
Total magnetization in μB per atom: 0.112
SG: P4/mmm (123)
Uncorrected formation energy in eV per atom: -0.355

Cell lengths 5.4766, 5.4766, 5.0690 Å; angles 90.00, 90.00, 90.00 degrees
Closest atoms and distances in Å follow each position.
Fractional positions:
1 Li 0.0000 0.0000 0.0000  2 I 2.53, 4 Hg 2.74
2 Hg 0.0000 0.5000 0.0000  2 Li 2.74
3 Hg 0.5000 0.0000 0.0000  2 Li 2.74
4 I 0.0000 0.0000 0.5000  2 Li 2.53
5 F 0.5000 0.5000 0.5000  8 Hg 3.73, 4 I 3.87

total magnetization of number 1 (KHgI2F)? 0.000 μB per atom